(1)
# Pr3SiH2

A relaxed structure of Pr3SiH2 (PBE, Alexandria via LeMat-Bulk).

Space-group type: Pmmn, No. 59
Uncorrected energy (eV per atom): -4.86

Lattice parameters (Å, degrees): 3.9432 5.0247 12.7038 90.00 90.00 90.00
Atoms (fractional coordinates):
Si1 0.2634 0.0000 0.0000
Pr1 0.1787 0.0000 0.5000
Si2 0.7366 0.5000 0.5000
Pr2 0.7421 0.0000 0.1860
Pr3 0.8213 0.5000 0.0000
Pr4 0.2579 0.5000 0.3140
Pr5 0.7421 0.0000 0.8140
H1 0.7638 0.5000 0.8051
H2 0.7638 0.5000 0.1949
H3 0.2362 0.0000 0.3051
Pr6 0.2579 0.5000 0.6860
H4 0.2362 0.0000 0.6949

***

(2)
# PrSi2H8

A relaxed structure of PrSi2H8 (PBE, Alexandria via LeMat-Bulk).

Space-group type: C2/m, No. 12
Uncorrected energy (eV per atom): -3.85

Lattice parameters (Å, degrees): 7.0940 4.4758 4.4758 57.43 60.45 60.45
Atoms (fractional coordinates):
H1 0.2026 0.9159 0.4232
H2 0.8149 0.5709 0.5709
H3 0.7974 0.5768 0.0841
H4 0.5737 0.2186 0.2186
H5 0.1851 0.4291 0.4291
H6 0.4263 0.7814 0.7814
Pr1 0.0000 0.0000 0.0000
Si1 0.6389 0.8184 0.8184
Si2 0.3611 0.1816 0.1816
H7 0.2026 0.4232 0.9159
H8 0.7974 0.0841 0.5768

***

(3)
# Pr12Si3H5

A relaxed structure of Pr12Si3H5 (PBE, Alexandria via LeMat-Bulk).

Space-group type: Ia-3d, No. 230
Uncorrected energy (eV per atom): -4.84

Lattice parameters (Å, degrees): 13.7454 13.7454 13.7454 109.47 109.47 109.47
Atoms (fractional coordinates):
Pr1 0.6175 0.5915 0.9031
Pr2 0.9740 0.5915 0.1885
Pr3 0.3825 0.9740 0.7855
Pr4 0.1885 0.0915 0.9740
Pr5 0.5260 0.3115 0.9085
Pr6 0.4031 0.1175 0.5915
Si1 0.1250 0.8750 0.7500
Pr7 0.8115 0.9085 0.0260
H1 0.7500 0.1250 0.8750
Pr8 0.4031 0.2855 0.3115
H2 0.6250 0.7500 0.8750
H3 0.1250 0.7500 0.3750
Pr9 0.5969 0.8825 0.4085
H4 0.0000 0.5000 0.5000
H5 0.2500 0.3750 0.6250
Pr10 0.1175 0.4031 0.0915
Pr11 0.9031 0.0915 0.6175
Pr12 0.0260 0.6175 0.7145
Pr13 0.4740 0.7855 0.8825
Si2 0.1250 0.2500 0.8750
H6 0.5000 0.5000 0.0000
Pr14 0.1885 0.0969 0.7145
Pr15 0.0260 0.4085 0.8115
Pr16 0.2855 0.4031 0.8115
H7 0.5000 0.5000 0.5000
Pr17 0.2145 0.6885 0.0969
Pr18 0.2855 0.8825 0.9740
H8 0.6250 0.8750 0.2500
H9 0.8750 0.6250 0.7500
Pr19 0.3115 0.5260 0.4085
Pr20 0.0915 0.1885 0.4740
Pr21 0.4085 0.3825 0.5969
H10 0.3750 0.2500 0.1250
Pr22 0.7145 0.1175 0.0260
H11 0.1250 0.3750 0.2500
Pr23 0.0969 0.1885 0.2145
Si3 0.8750 0.7500 0.1250
Pr24 0.8115 0.9031 0.2855
H12 0.0000 0.5000 0.0000
Pr25 0.1175 0.7145 0.5260
H13 0.5000 0.0000 0.0000
Pr26 0.5969 0.7145 0.6885
H14 0.5000 0.0000 0.5000
Pr27 0.4085 0.0260 0.3115
Si4 0.2500 0.1250 0.3750
Pr28 0.7855 0.3115 0.9031
H15 0.2500 0.8750 0.1250
Si5 0.6250 0.2500 0.3750
Si6 0.7500 0.3750 0.1250
Pr29 0.0915 0.9031 0.1175
Si7 0.3750 0.6250 0.2500
Pr30 0.5260 0.2145 0.1175
H16 0.0000 0.0000 0.5000
Si8 0.2500 0.6250 0.8750
Pr31 0.7855 0.4740 0.3825
Si9 0.8750 0.1250 0.2500
Si10 0.6250 0.3750 0.7500
H17 0.3750 0.1250 0.7500
Pr32 0.3825 0.4085 0.0969
Pr33 0.8825 0.2855 0.4740
Pr34 0.0969 0.9085 0.3825
Pr35 0.9085 0.8115 0.5260
Pr36 0.9740 0.3825 0.2855
Pr37 0.8825 0.5969 0.9085
Pr38 0.3115 0.7855 0.4031
Pr39 0.6885 0.2145 0.5969
Pr40 0.7145 0.5969 0.1885
Pr41 0.5915 0.9740 0.6885
Pr42 0.9031 0.8115 0.7855
H18 0.8750 0.2500 0.6250
Pr43 0.4740 0.6885 0.0915
Si11 0.7500 0.8750 0.6250
Pr44 0.6175 0.0260 0.2145
H19 0.7500 0.6250 0.3750
Si12 0.3750 0.7500 0.6250
Pr45 0.6885 0.4740 0.5915
Pr46 0.5915 0.6175 0.4031
Pr47 0.2145 0.5260 0.6175
Pr48 0.9085 0.0969 0.8825
H20 0.0000 0.0000 0.0000

***

(4)
# PrSm2H7

A relaxed structure of PrSm2H7 (PBE, Alexandria via LeMat-Bulk).

Space-group type: I4/mmm, No. 139
Uncorrected energy (eV per atom): -4.39

Lattice parameters (Å, degrees): 3.8138 3.8138 8.5387 102.90 102.90 90.00
Atoms (fractional coordinates):
H1 0.4102 0.9102 0.8204
H2 0.2500 0.7500 0.5000
Sm1 0.6673 0.6673 0.3345
H3 0.5000 0.5000 0.0000
H4 0.5898 0.0898 0.1796
H5 0.7500 0.2500 0.5000
Sm2 0.3327 0.3327 0.6655
H6 0.0898 0.5898 0.1796
Pr1 0.0000 0.0000 0.0000
H7 0.9102 0.4102 0.8204

***

(5)
# Pr5Sm3H12

A relaxed structure of Pr5Sm3H12 (PBE, Alexandria via LeMat-Bulk).

Space-group type: Ia-3d, No. 230
Uncorrected energy (eV per atom): -4.34

Lattice parameters (Å, degrees): 11.8226 11.8226 11.8226 109.47 109.47 109.47
Atoms (fractional coordinates):
H1 0.1578 0.0728 0.7289
H2 0.0850 0.1578 0.4289
H3 0.1578 0.0850 0.9289
H4 0.6578 0.4289 0.5850
H5 0.9150 0.8422 0.5711
H6 0.9289 0.3439 0.2711
Pr1 0.7500 0.6250 0.3750
Sm1 0.2500 0.6250 0.8750
H7 0.1561 0.4272 0.0850
Pr2 0.8750 0.2500 0.6250
H8 0.7289 0.5728 0.1578
Sm2 0.1250 0.2500 0.8750
H9 0.5711 0.3422 0.9150
H10 0.5850 0.6561 0.4272
H11 0.0711 0.4150 0.8422
Sm3 0.6250 0.2500 0.3750
H12 0.6561 0.0711 0.2289
H13 0.5728 0.8439 0.4150
Sm4 0.7500 0.3750 0.1250
H14 0.5711 0.2289 0.1561
H15 0.8439 0.2711 0.4289
H16 0.0728 0.1578 0.2289
H17 0.9150 0.0728 0.8439
Pr3 0.0000 0.0000 0.0000
H18 0.1561 0.7289 0.5711
H19 0.0850 0.9272 0.1561
H20 0.9272 0.8422 0.7711
Sm5 0.3750 0.6250 0.2500
H21 0.7711 0.3422 0.9272
H22 0.4150 0.0711 0.3422
Pr4 0.0000 0.5000 0.5000
H23 0.0728 0.9150 0.3439
Pr5 0.5000 0.0000 0.0000
Pr6 0.3750 0.1250 0.7500
Sm6 0.3750 0.7500 0.6250
H24 0.6561 0.5850 0.9272
Pr7 0.2500 0.3750 0.6250
Sm7 0.7500 0.8750 0.6250
H25 0.6578 0.2289 0.5728
H26 0.8422 0.9150 0.0711
H27 0.3439 0.9289 0.7711
Pr8 0.6250 0.8750 0.2500
H28 0.4272 0.2711 0.3422
Pr9 0.5000 0.5000 0.0000
H29 0.5728 0.7289 0.6578
Pr10 0.0000 0.5000 0.0000
H30 0.4150 0.3439 0.5728
H31 0.3422 0.7711 0.4272
Sm8 0.2500 0.1250 0.3750
H32 0.7711 0.4289 0.3439
H33 0.5850 0.9289 0.6578
Sm9 0.8750 0.7500 0.1250
H34 0.4272 0.1561 0.5850
Pr11 0.5000 0.5000 0.5000
Pr12 0.1250 0.3750 0.2500
Pr13 0.6250 0.7500 0.8750
Sm10 0.8750 0.1250 0.2500
Pr14 0.3750 0.2500 0.1250
Pr15 0.1250 0.7500 0.3750
H35 0.0711 0.6561 0.7289
H36 0.4289 0.6578 0.0850
H37 0.3439 0.4150 0.0728
H38 0.2289 0.6578 0.0728
Pr16 0.7500 0.1250 0.8750
H39 0.8422 0.9272 0.2711
H40 0.7289 0.1561 0.0711
H41 0.4289 0.7711 0.8439
Pr17 0.0000 0.0000 0.5000
H42 0.2711 0.4272 0.8422
Sm11 0.1250 0.8750 0.7500
H43 0.8439 0.5728 0.9150
H44 0.3422 0.5711 0.4150
H45 0.2289 0.5711 0.6561
Pr18 0.8750 0.6250 0.7500
H46 0.9272 0.0850 0.6561
Pr19 0.5000 0.0000 0.5000
H47 0.2711 0.8439 0.9289
Sm12 0.6250 0.3750 0.7500
Pr20 0.2500 0.8750 0.1250
H48 0.9289 0.5850 0.1578

***

(6)
# PrSmH4

A relaxed structure of PrSmH4 (PBE, Alexandria via LeMat-Bulk).

Space-group type: P4/mmm, No. 123
Uncorrected energy (eV per atom): -4.47

Lattice parameters (Å, degrees): 3.8533 3.8533 5.4554 90.00 90.00 90.00
Atoms (fractional coordinates):
H1 0.5000 0.0000 0.7410
H2 0.5000 0.0000 0.2590
H3 0.0000 0.5000 0.7410
Pr1 0.0000 0.0000 0.0000
H4 0.0000 0.5000 0.2590
Sm1 0.5000 0.5000 0.5000

***

Q: uncorrected energy of number 5 (Pr5Sm3H12)?
A: -4.34 eV per atom

***

Q: uncorrected energy of number 6 (PrSmH4)?
A: -4.47 eV per atom

***

Q: Look up the uncorrected energy of the sixth one.
A: -4.47 eV per atom

***

Q: Among the records above, which one has the highest uncorrected energy?
A: PrSi2H8